An optimized crystal structure of Ca2MnOs, computed with PBEsol.

a = 3.946 Å, b = 5.061 Å, c = 8.322 Å
α = 90.00°, β = 90.00°, γ = 90.00°
Space group Imm2 (No. 44)
Inequivalent atoms, fractional coordinates:
Ca 0.000 0.000 0.000 x2
Ca 0.000 0.500 0.199 x2
Mn 0.000 0.500 0.783 x2
Os 0.000 0.000 0.414 x2

Computed properties:
Volume   20.775 Å³ per atom
Magnetic moment   2.58 Bohr magnetons per cell
Energy of formation from the pure elements   0.459 eV per atom
Offset from the most stable computed form   0.096 eV per atom